[1]
A geometry-optimized NdAlIn2 structure, computed with PBE.

Output
* space-group type: No. 123
* total DFT energy (no corrections): -3.90 eV/atom
* formation energy: -0.402 eV per atom

```
NdAlIn2
1.0
4.5787 0.0000 0.0000
0.0000 4.5787 0.0000
0.0000 0.0000 4.6610
Nd Al In
1 1 2
direct
0.0000 0.0000 0.0000
0.5000 0.5000 0.0000
0.0000 0.5000 0.5000
0.5000 0.0000 0.5000
```

=====

[2]
A geometry-optimized HgIr2Ru structure, computed with PBE.

Output
* space-group type: No. 47
* total DFT energy (no corrections): -6.45 eV/atom
* formation energy: 0.370 eV per atom

```
HgIr2Ru
1.0
2.8008 0.0000 0.0000
0.0000 3.8003 0.0000
0.0000 0.0000 6.0074
Hg Ir Ru
1 2 1
direct
0.0000 0.0000 0.0000
0.5000 0.5000 0.2809
0.5000 0.5000 0.7191
0.0000 0.0000 0.5000
```

=====

[3]
A geometry-optimized AlSi2Se structure, computed with PBE.

Output
* space-group type: No. 47
* total DFT energy (no corrections): -4.13 eV/atom

```
AlSi2Se
1.0
3.4964 0.0000 0.0000
0.0000 3.9748 0.0000
0.0000 0.0000 5.1354
Al Si Se
1 2 1
direct
0.0000 0.0000 0.0000
0.5000 0.5000 0.2386
0.5000 0.5000 0.7614
0.0000 0.0000 0.5000
```

=====

[4]
A geometry-optimized CoTc2Ru structure, computed with PBE.

Output
* space-group type: No. 123
* total DFT energy (no corrections): -9.22 eV/atom
* formation energy: 0.058 eV per atom

```
CoTc2Ru
1.0
2.6681 0.0000 0.0000
0.0000 2.6681 0.0000
0.0000 0.0000 7.5093
Co Tc Ru
1 2 1
direct
0.0000 0.0000 0.0000
0.5000 0.5000 0.2391
0.5000 0.5000 0.7609
0.0000 0.0000 0.5000
```

=====

[5]
A geometry-optimized Se3ICl structure, computed with PBE.

Output
* space-group type: No. 1
* total DFT energy (no corrections): -2.77 eV/atom

```
Se3ICl
1.0
6.8180 0.0000 0.0000
2.6670 6.2835 0.0000
2.0664 1.3482 12.1385
Se I Cl
6 2 2
direct
0.0000 0.0000 0.0000
0.0292 0.7946 0.5739
0.1821 0.6415 0.0740
0.2541 0.3470 0.5881
0.3883 0.6124 0.4998
0.7339 0.8668 0.0889
0.0408 0.8976 0.7739
0.2859 0.6534 0.2737
0.4082 0.1365 0.0557
0.5239 0.0212 0.5546
```

=====

[6]
A geometry-optimized YCuP2 structure, computed with PBE.

Output
* space-group type: No. 12
* total DFT energy (no corrections): -5.86 eV/atom
* formation energy: -0.513 eV per atom

```
YCuP2
1.0
3.6444 -2.0896 0.0000
3.6444 2.0896 0.0000
-1.9201 0.0000 4.5831
Y Cu P
1 1 2
direct
0.0000 0.0000 0.0000
0.5000 0.5000 0.5000
0.2321 0.2321 0.6470
0.7679 0.7679 0.3530
```

=====

Asked for M_tot across the records above, the calculation gives 0.00 0.00 0.00 0.00 0.00 0.00 μB/f.u. in order.